(1)
# SnSbSe2 (SCAN, PBEsol geometry)
data_SnSbSe2
_chemical_formula_sum 'Sn4 Sb4 Se8'
_space_group_name_H-M_alt 'F m -3 m'
_space_group_IT_number 225
_space_group_name_Hall '-F 4 2 3'
_cell_length_a 7.1574
_cell_length_b 7.1574
_cell_length_c 7.1574
_cell_angle_alpha 90.00
_cell_angle_beta 90.00
_cell_angle_gamma 90.00
loop_
_atom_site_label
_atom_site_type_symbol
_atom_site_fract_x
_atom_site_fract_y
_atom_site_fract_z
Sn1 Sn 0.0000 0.0000 0.0000
Sb1 Sb 0.0000 0.0000 0.5000
Se1 Se 0.2500 0.2500 0.2500
# formation energy (no corrections): 0.072 eV per atom
# E_tot: -28.263 eV per atom
# calculated volume: 22.9 Å³ per atom
# crystal system: cubic

=====

(2)
# SrSbSe4 (SCAN, PBEsol geometry)
data_SrSbSe4
_chemical_formula_sum 'Sr4 Sb4 Se16'
_space_group_name_H-M_alt 'F -4 3 m'
_space_group_IT_number 216
_space_group_name_Hall 'F -4 2 3'
_cell_length_a 8.2388
_cell_length_b 8.2388
_cell_length_c 8.2388
_cell_angle_alpha 90.00
_cell_angle_beta 90.00
_cell_angle_gamma 90.00
loop_
_atom_site_label
_atom_site_type_symbol
_atom_site_fract_x
_atom_site_fract_y
_atom_site_fract_z
Sr1 Sr 0.0000 0.0000 0.0000
Sb1 Sb 0.2500 0.2500 0.7500
Se1 Se 0.1245 0.1245 0.3755
# formation energy (no corrections): -0.038 eV per atom
# E_tot: -23.346 eV per atom
# calculated volume: 23.3 Å³ per atom
# crystal system: cubic

=====

(3)
# SrSbSe2 (SCAN, PBEsol geometry)
data_SrSbSe2
_chemical_formula_sum 'Sr1 Sb1 Se2'
_space_group_name_H-M_alt 'P 4/m m m'
_space_group_IT_number 123
_space_group_name_Hall '-P 4 2'
_cell_length_a 4.2853
_cell_length_b 4.2853
_cell_length_c 6.0481
_cell_angle_alpha 90.00
_cell_angle_beta 90.00
_cell_angle_gamma 90.00
loop_
_atom_site_label
_atom_site_type_symbol
_atom_site_fract_x
_atom_site_fract_y
_atom_site_fract_z
Sr1 Sr 0.0000 0.0000 0.0000
Sb1 Sb 0.5000 0.5000 0.5000
Se1 Se 0.0000 0.0000 0.5000
Se2 Se 0.5000 0.5000 0.0000
# formation energy (no corrections): -1.153 eV per atom
# E_tot: -26.076 eV per atom
# calculated volume: 27.8 Å³ per atom
# crystal system: tetragonal

=====

(4)
# SrSb2Se2 (SCAN, PBEsol geometry)
data_SrSb2Se2
_chemical_formula_sum 'Sr2 Sb4 Se4'
_space_group_name_H-M_alt 'I 4/m m m'
_space_group_IT_number 139
_space_group_name_Hall '-I 4 2'
_cell_length_a 5.6640
_cell_length_b 5.6640
_cell_length_c 9.2196
_cell_angle_alpha 90.00
_cell_angle_beta 90.00
_cell_angle_gamma 90.00
loop_
_atom_site_label
_atom_site_type_symbol
_atom_site_fract_x
_atom_site_fract_y
_atom_site_fract_z
Sr1 Sr 0.0000 0.0000 0.0000
Sb1 Sb 0.0000 0.0000 0.3474
Se1 Se 0.0000 0.5000 0.2500
# formation energy (no corrections): -0.424 eV per atom
# E_tot: -27.814 eV per atom
# calculated volume: 29.6 Å³ per atom
# crystal system: tetragonal

=====

(5)
# SrSb2Se (SCAN, PBEsol geometry)
data_SrSb2Se
_chemical_formula_sum 'Sr1 Sb2 Se1'
_space_group_name_H-M_alt 'P 4/m m m'
_space_group_IT_number 123
_space_group_name_Hall '-P 4 2'
_cell_length_a 3.5686
_cell_length_b 3.5686
_cell_length_c 8.3505
_cell_angle_alpha 90.00
_cell_angle_beta 90.00
_cell_angle_gamma 90.00
loop_
_atom_site_label
_atom_site_type_symbol
_atom_site_fract_x
_atom_site_fract_y
_atom_site_fract_z
Sr1 Sr 0.0000 0.0000 0.0000
Sb1 Sb 0.5000 0.5000 0.2815
Se1 Se 0.0000 0.0000 0.5000
# formation energy (no corrections): -0.110 eV per atom
# E_tot: -29.329 eV per atom
# calculated volume: 26.6 Å³ per atom
# crystal system: tetragonal

=====

(6)
# SrSb2Se (SCAN, PBEsol geometry)
data_SrSb2Se
_chemical_formula_sum 'Sr1 Sb2 Se1'
_space_group_name_H-M_alt 'P 4 m m'
_space_group_IT_number 99
_cell_length_a 4.3263
_cell_length_b 4.3263
_cell_length_c 6.6507
_cell_angle_alpha 90.00
_cell_angle_beta 90.00
_cell_angle_gamma 90.00
loop_
_space_group_symop_operation_xyz
'x,y,z'
'-y,x,z'
'-x,-y,z'
'y,-x,z'
'-x,y,z'
'y,x,z'
'x,-y,z'
'-y,-x,z'
loop_
_atom_site_label
_atom_site_type_symbol
_atom_site_fract_x
_atom_site_fract_y
_atom_site_fract_z
Sr1 Sr 0.0000 0.0000 0.0000
Sb1 Sb 0.0000 0.0000 0.4974
Sb2 Sb 0.5000 0.5000 0.4306
Se1 Se 0.5000 0.5000 0.0202
# formation energy (no corrections): -0.927 eV per atom
# E_tot: -30.146 eV per atom
# calculated volume: 31.1 Å³ per atom
# crystal system: tetragonal

=====

(7)
# Sr2SbSe (SCAN, PBEsol geometry)
data_Sr2SbSe
_chemical_formula_sum 'Sr8 Sb4 Se4'
_space_group_name_H-M_alt 'I -4 2 d'
_space_group_IT_number 122
_space_group_name_Hall 'I -4 2bw'
_cell_length_a 8.3712
_cell_length_b 8.3712
_cell_length_c 7.5140
_cell_angle_alpha 90.00
_cell_angle_beta 90.00
_cell_angle_gamma 90.00
loop_
_atom_site_label
_atom_site_type_symbol
_atom_site_fract_x
_atom_site_fract_y
_atom_site_fract_z
Sr1 Sr 0.2247 0.2500 0.1250
Sb1 Sb 0.0000 0.0000 0.5000
Se1 Se 0.0000 0.0000 0.0000
# formation energy (no corrections): -1.263 eV per atom
# E_tot: -26.736 eV per atom
# calculated volume: 32.9 Å³ per atom
# crystal system: tetragonal

=====

(8)
# Ta3SbSe (SCAN, PBEsol geometry)
data_Ta3SbSe
_chemical_formula_sum 'Ta3 Sb1 Se1'
_space_group_name_H-M_alt 'P m -3 m'
_space_group_IT_number 221
_space_group_name_Hall '-P 4 2 3'
_cell_length_a 4.6966
_cell_length_b 4.6966
_cell_length_c 4.6966
_cell_angle_alpha 90.00
_cell_angle_beta 90.00
_cell_angle_gamma 90.00
loop_
_atom_site_label
_atom_site_type_symbol
_atom_site_fract_x
_atom_site_fract_y
_atom_site_fract_z
Ta1 Ta 0.0000 0.0000 0.5000
Sb1 Sb 0.5000 0.5000 0.5000
Se1 Se 0.0000 0.0000 0.0000
# formation energy (no corrections): 0.945 eV per atom
# E_tot: -50.473 eV per atom
# calculated volume: 20.7 Å³ per atom
# crystal system: cubic